Below is a relaxed structure of PrTcIr, with properties calculated at the GGA-PBE level.

Cell: 6.5183 6.5183 6.5183 Å, 90.00 90.00 90.00°
With the nearest neighbours (Å) after each atom.
Space group F-43m (No. 216)
One atom of each set of equivalent atoms:
Pr: 0.0000 0.0000 0.0000 (multiplicity 4)  4 Ir 2.82
Tc: 0.0000 0.0000 0.5000 (multiplicity 4)  4 Ir 2.82
Ir: 0.2500 0.2500 0.2500 (multiplicity 4)  4 Pr 2.82, 4 Tc 2.82

total magnetic moment: 1.5 μB per formula unit
E_form: 1.36 eV per formula unit
final energy: -7.544 eV per atom
energy relative to the lowest polymorph listed for this composition: 0.000 eV per atom



Below is a relaxed structure of ZrPIrO, with properties calculated at the GGA-PBE level.

Cell: 3.8306 3.8306 7.6084 Å, 90.00 90.00 90.00°
With the nearest neighbours (Å) after each atom.
Space group P4/nmm (No. 129, origin choice 2)
One atom of each set of equivalent atoms:
Zr: 0.2500 0.2500 0.1554 (multiplicity 2)  4 O 2.25
P: 0.2500 0.2500 0.6853 (multiplicity 2)  4 Ir 2.38
Ir: 0.2500 0.7500 0.5000 (multiplicity 2)  4 P 2.38
O: 0.2500 0.7500 0.0000 (multiplicity 2)  4 Zr 2.25

total magnetic moment: 0.0 μB per formula unit
final energy: -8.496 eV per atom
energy relative to the lowest polymorph listed for this composition: 0.000 eV per atom



Below is a relaxed structure of Na2Ag, with properties calculated at the GGA-PBE level.

Cell: 12.4416 12.4416 12.4416 Å, 90.00 90.00 90.00°
With the nearest neighbours (Å) after each atom.
Space group Fd-3m (No. 227, origin choice 2)
One atom of each set of equivalent atoms:
Na: 0.0000 0.0000 0.0000 (multiplicity 16)  2 Ag 2.69
Ag: 0.1250 0.1250 0.1250 (multiplicity 8)  4 Na 2.69

final energy: -1.287 eV per atom



Below is a relaxed structure of CuReAg2F6, with properties calculated at the GGA-PBE level.

Cell: 9.1222 5.9449 4.7781 Å, 90.00 95.19 90.00°
With the nearest neighbours (Å) after each atom.
Space group C2/m (No. 12)
One atom of each set of equivalent atoms:
Cu: 0.0000 0.0000 0.0000 (multiplicity 2)  4 F 2.02
Re: 0.0000 0.5000 0.5000 (multiplicity 2)  6 F 1.98-2.04
Ag: 0.2122 0.0000 0.6901 (multiplicity 4)  5 F 2.53-2.55, 1 Cu 2.54
F: 0.0734 0.2250 0.2977 (multiplicity 8)  1 Cu 2.02, 1 Re 2.04
F: 0.1523 0.5000 0.8241 (multiplicity 4)  1 Re 1.98

total magnetic moment: 2.0 μB per formula unit
final energy: -4.444 eV per atom



Below is a relaxed structure of CsPmSn, with properties calculated at the GGA-PBE level.

Cell: 7.7565 7.7565 7.7565 Å, 90.00 90.00 90.00°
With the nearest neighbours (Å) after each atom.
Space group F-43m (No. 216)
One atom of each set of equivalent atoms:
Cs: 0.0000 0.0000 0.0000 (multiplicity 4)  4 Sn 3.36, 4 Pm 3.36
Pm: 0.2500 0.2500 0.2500 (multiplicity 4)  4 Cs 3.36
Sn: 0.2500 0.2500 0.7500 (multiplicity 4)  4 Cs 3.36

total magnetic moment: 0.0 μB per formula unit
final energy: -2.566 eV per atom
energy relative to the lowest polymorph listed for this composition: 0.496 eV per atom



Below is a relaxed structure of SrNpBe, with properties calculated at the GGA-PBE level.

Cell: 7.0412 7.0412 7.0412 Å, 90.00 90.00 90.00°
With the nearest neighbours (Å) after each atom.
Space group F-43m (No. 216)
One atom of each set of equivalent atoms:
Sr: 0.0000 0.0000 0.0000 (multiplicity 4)  4 Be 3.05
Np: 0.0000 0.0000 0.5000 (multiplicity 4)  4 Be 3.05
Be: 0.2500 0.2500 0.7500 (multiplicity 4)  4 Np 3.05, 4 Sr 3.05

total magnetic moment: 5.0 μB per formula unit
final energy: -4.998 eV per atom



Below is a relaxed structure of SrNdTm, with properties calculated at the GGA-PBE level.

Cell: 8.1628 8.1628 8.1628 Å, 90.00 90.00 90.00°
With the nearest neighbours (Å) after each atom.
Space group F-43m (No. 216)
One atom of each set of equivalent atoms:
Sr: 0.0000 0.0000 0.0000 (multiplicity 4)  4 Tm 3.53
Nd: 0.0000 0.0000 0.5000 (multiplicity 4)  4 Tm 3.53
Tm: 0.2500 0.2500 0.7500 (multiplicity 4)  4 Nd 3.53, 4 Sr 3.53

total magnetic moment: 0.0 μB per formula unit
final energy: -2.869 eV per atom



Below is a relaxed structure of Na2Y2SnPd2Pb, with properties calculated at the GGA-PBE level.

Cell: 4.9234 4.9234 6.9674 Å, 90.00 90.00 90.00°
With the nearest neighbours (Å) after each atom.
Space group P-4m2 (No. 115)
One atom of each set of equivalent atoms:
Na: 0.0000 0.5000 0.2469 (multiplicity 2)  2 Sn 3.00, 4 Y 3.00-3.03, 2 Pb 3.03
Y: 0.0000 0.0000 0.0000 (multiplicity 1)  4 Pd 2.98, 4 Na 3.00
Y: 0.5000 0.5000 0.5000 (multiplicity 1)  4 Na 3.03, 4 Pd 3.05
Sn: 0.5000 0.5000 0.0000 (multiplicity 1)  4 Pd 2.98, 4 Na 3.00
Pd: 0.0000 0.5000 0.7592 (multiplicity 2)  2 Sn 2.98, 4 Y 2.98-3.05, 2 Pb 3.05
Pb: 0.0000 0.0000 0.5000 (multiplicity 1)  4 Na 3.03, 4 Pd 3.05

total magnetic moment: 0.0 μB per formula unit
final energy: -4.713 eV per atom